[1]
VASP calculation (PBE) on a geometry-optimized Dy2PRh3 structure.

Crystal system   trigonal
Mass density   10.74 Mg/m³
Raw total energy   -7.070 eV/atom

abc: 5.5418 5.5418 11.5972
angles: 90.00 90.00 120.00
With the nearest neighbours (Å) after each atom.
Space group R-3m (No. 166, hexagonal axes)
Asymmetric unit:
Dy 0.0000 0.0000 0.1279 [6 per cell]  9 Rh 2.87-3.14, 1 Dy 2.97
P 0.0000 0.0000 0.5000 [3 per cell]  6 Rh 2.51
Rh 0.0000 0.5000 0.0000 [9 per cell]  2 P 2.51, 4 Rh 2.77


[2]
VASP calculation (PBE) on a geometry-optimized Dy2P2Rh5 structure.

Crystal system   tetragonal
Mass density   10.20 Mg/m³
Raw total energy   -7.311 eV/atom

abc: 4.1085 4.1085 8.6905
angles: 90.00 90.00 90.00
With the nearest neighbours (Å) after each atom.
Space group P4/mmm (No. 123)
Asymmetric unit:
Dy 0.0000 0.0000 0.0000 [1 per cell]  8 Rh 3.03, 8 P 3.15
Dy 0.0000 0.0000 0.5000 [1 per cell]  12 Rh 2.91-2.95
P 0.5000 0.5000 0.1387 [2 per cell]  4 Rh 2.30, 1 P 2.41
Rh 0.0000 0.5000 0.2566 [4 per cell]  2 P 2.30
Rh 0.5000 0.5000 0.5000 [1 per cell]  4 Dy 2.91, 8 Rh 2.95, 2 P 3.14


[3]
VASP calculation (PBE) on a geometry-optimized Dy3P6Rh20 structure.

Crystal system   cubic
Mass density   10.48 Mg/m³
Raw total energy   -7.355 eV/atom

abc: 12.0091 12.0091 12.0091
angles: 90.00 90.00 90.00
With the nearest neighbours (Å) after each atom.
Space group Fm-3m (No. 225)
Asymmetric unit:
Dy 0.0000 0.0000 0.0000 [4 per cell]  12 Rh 2.91, 6 P 3.23
Dy 0.2500 0.2500 0.2500 [8 per cell]  4 Rh 2.78
P 0.0000 0.0000 0.2690 [24 per cell]  8 Rh 2.37-2.41
Rh 0.0000 0.1711 0.1711 [48 per cell]  2 P 2.37
Rh 0.1163 0.1163 0.3837 [32 per cell]  3 P 2.41


[4]
VASP calculation (PBE) on a geometry-optimized Dy2P3Rh5 structure.

Crystal system   orthorhombic
Mass density   9.74 Mg/m³
Raw total energy   -7.187 eV/atom

abc: 4.0313 24.2277 6.5122
angles: 90.00 90.00 90.00
With the nearest neighbours (Å) after each atom.
Space group Cmc2_1 (No. 36)
Asymmetric unit:
Dy 0.0000 0.0212 0.0000 [4 per cell]  5 P 2.73-2.95, 4 Rh 2.95-3.03
Dy 0.0000 0.3233 0.9584 [4 per cell]  8 Rh 2.83-3.07, 3 P 2.90-3.07
P 0.0000 0.1106 0.2550 [4 per cell]  4 Rh 2.29-2.44
P 0.0000 0.2797 0.4017 [4 per cell]  6 Rh 2.37-2.50
P 0.0000 0.4522 0.2076 [4 per cell]  4 Rh 2.39-2.43
Rh 0.0000 0.0959 0.6257 [4 per cell]  3 P 2.39-2.44
Rh 0.0000 0.1968 0.1112 [4 per cell]  3 P 2.29-2.50
Rh 0.0000 0.2277 0.7092 [4 per cell]  3 P 2.37-2.38
Rh 0.0000 0.3780 0.4510 [4 per cell]  2 P 2.40
Rh 0.0000 0.4409 0.8365 [4 per cell]  3 P 2.43


[5]
VASP calculation (PBE) on a geometry-optimized Dy2P2Rh structure.

Crystal system   monoclinic
Mass density   8.26 Mg/m³
Raw total energy   -6.731 eV/atom

abc: 10.5381 4.0246 10.1599
angles: 90.00 113.89 90.00
With the nearest neighbours (Å) after each atom.
Space group C2/m (No. 12)
Asymmetric unit:
Dy 0.0883 0.0000 0.3958 [4 per cell]  4 P 2.78-3.00, 2 Rh 2.92
Dy 0.1978 0.5000 0.1452 [4 per cell]  7 P 2.94-3.15, 4 Rh 2.97-3.09
P 0.0508 0.0000 0.9202 [4 per cell]  1 P 2.28, 2 Rh 2.31
P 0.1603 0.5000 0.6335 [4 per cell]  1 Rh 2.43
Rh 0.0678 0.5000 0.8172 [4 per cell]  3 P 2.31-2.43


[6]
VASP calculation (PBE) on a geometry-optimized DyP2RuRh structure.

Crystal system   tetragonal
Mass density   9.12 Mg/m³
Raw total energy   -7.464 eV/atom

abc: 4.0020 4.0020 9.7456
angles: 90.00 90.00 90.00
With the nearest neighbours (Å) after each atom.
Space group I-4m2 (No. 119)
Asymmetric unit:
Dy 0.0000 0.0000 0.0000 [2 per cell]  8 P 3.05, 4 Ru 3.15, 4 Rh 3.15
P 0.0000 0.0000 0.3828 [4 per cell]  1 P 2.28, 2 Ru 2.38, 2 Rh 2.38
Ru 0.0000 0.5000 0.7500 [2 per cell]  4 P 2.38
Rh 0.0000 0.5000 0.2500 [2 per cell]  4 P 2.38


Across the entries above, total magnetic moment takes the values 0.0 0.0 0.0 0.0 0.0 0.0 μB/f.u., respectively.